# Tb8HgPd2 GGA-PBE relaxed
# - E (eV/atom) = -4.637
# - relative energy among the computed polymorphs (kJ per mole of atoms) = 9.24
# - SG = No. 12
# - energy of formation (eV per atom) = -0.2982
data_Tb8HgPd2
_cell_length_a 5.5438
_cell_length_b 8.0519
_cell_length_c 8.0519
_cell_angle_alpha 115.42
_cell_angle_beta 98.69
_cell_angle_gamma 98.69
_space_group_name_H-M_alt 'P 1'
_space_group_IT_number 1
loop_
_space_group_symop_operation_xyz
'x,y,z'
loop_
_atom_site_label
_atom_site_type_symbol
_atom_site_fract_x
_atom_site_fract_y
_atom_site_fract_z
Tb1 Tb 0.5843 0.3349 0.0874
Tb2 Tb 0.5843 0.0874 0.3349
Tb3 Tb 0.1889 0.3910 0.3910
Tb4 Tb 0.0000 0.2398 0.7667
Tb5 Tb 0.0000 0.7667 0.2398
Tb6 Tb 0.8108 0.6153 0.6153
Tb7 Tb 0.4158 0.9188 0.6713
Tb8 Tb 0.4158 0.6713 0.9188
Hg1 Hg 0.0002 0.0030 0.0030
Pd1 Pd 0.4998 0.7013 0.3046
Pd2 Pd 0.4998 0.3046 0.7013